(1)
The following is a DFT calculation (GGA-PBE) of a relaxed KCoSi2 crystal.

POSCAR file:
```
KCoSi2
1.0
-0.067 2.113 -3.048
-0.228 -2.310 -1.596
-7.298 0.430 0.459
Co K Si
1 1 2
Cartesian
-2.637 -1.302 -0.844
-5.662 -0.056 -2.171
-0.643 -0.252 -0.161
-2.415 0.902 -1.579
```

Results
The total DFT energy (no corrections) is -4.724 eV/atom. The size of the total moment is 0.0 μB per formula unit. As for the energy relative to the lowest polymorph listed for this composition: 55.8 meV/atom.

(2)
The following is a DFT calculation (GGA-PBE) of a relaxed Sm4Tm5Th2 crystal.

POSCAR file:
```
Sm4Tm5Th2
1.0
3.224 -0.061 -1.441
-0.080 8.766 -0.048
-3.605 0.254 14.048
Sm Tm Th
4 5 2
Cartesian
-1.692 1.865 7.355
0.000 6.435 2.051
1.231 7.094 5.204
-0.462 2.525 10.508
0.368 4.762 7.882
-0.829 4.198 4.677
-2.383 8.225 10.014
1.612 -0.031 -0.720
1.922 0.734 2.546
-3.295 5.831 12.688
2.834 3.129 -0.129
```

Results
The total DFT energy (no corrections) is -5.039 eV/atom. Its energy of formation from the pure elements is 0.0584 eV per atom. The size of the total moment is 0.0 μB per formula unit. As for the energy relative to the lowest polymorph listed for this composition: 0.0 meV/atom.

(3)
The following is a DFT calculation (GGA-PBE) of a relaxed NaAg4Pt crystal.

POSCAR file:
```
NaAg4Pt
1.0
-4.385 3.185 -0.656
-4.761 -1.408 2.270
-1.959 2.850 4.223
Na Ag Pt
1 4 1
Cartesian
0.000 0.000 0.000
-5.960 1.468 1.539
-4.562 3.594 2.514
-6.938 2.891 3.647
-4.750 1.301 3.974
-2.776 1.157 1.459
```

Results
The total DFT energy (no corrections) is -3.016 eV/atom. Its energy of formation from the pure elements is 0.1115 eV per atom. The size of the total moment is 0.0 μB per formula unit.

(4)
The following is a DFT calculation (GGA-PBE) of a relaxed RbTa3Te crystal.

POSCAR file:
```
RbTa3Te
1.0
-0.009 3.464 3.465
-2.397 -3.025 3.018
4.273 -1.689 1.700
Te Rb Ta
1 1 3
Cartesian
0.934 -0.625 4.092
0.000 0.000 0.000
-1.198 -1.513 1.509
2.137 -0.845 0.850
-0.005 1.732 1.732
```

Results
The total DFT energy (no corrections) is -4.864 eV/atom. The size of the total moment is 0.0 μB per formula unit. As for the energy relative to the lowest polymorph listed for this composition: 1096.2 meV/atom.

(5)
The following is a DFT calculation (GGA-PBE) of a relaxed DyAlGaNi crystal.

POSCAR file:
```
DyAlGaNi
1.0
-2.746 -3.686 -0.008
-0.337 -2.607 -3.771
1.819 -4.221 -0.046
Ni Al Ga Dy
1 1 1 1
Cartesian
-0.316 -2.629 -0.956
-0.632 -5.257 -1.912
-0.948 -7.886 -2.868
0.000 0.000 0.000
```

Results
The total DFT energy (no corrections) is -4.703 eV/atom. Its energy of formation from the pure elements is -0.4151 eV per atom. The size of the total moment is 0.0 μB per formula unit.

(6)
The following is a DFT calculation (GGA-PBE) of a relaxed VPdS2 crystal.

POSCAR file:
```
VPdS2
1.0
-5.720 -2.731 -1.739
-0.854 -2.456 6.555
-1.394 2.844 0.117
S Pd V
4 2 2
Cartesian
-3.722 -1.810 -0.292
-1.495 -0.837 2.598
-2.169 -1.299 5.770
-5.046 -0.845 3.406
-3.446 0.026 1.312
-5.927 -3.019 2.841
-3.070 0.094 4.110
-4.186 -2.260 5.079
```

Results
The total DFT energy (no corrections) is -6.283 eV/atom. The size of the total moment is 0.0 μB per formula unit.